6
Lattice="0.000 7.818 7.818 7.818 0.000 7.818 7.818 7.818 0.000" Properties=species:S:1:pos:R:3 comment="Sr2Pr, optimized geometry, DFT PBE" dft_energy_ev_per_atom=-1.009 de_polymorph_kj_per_mol_fu=376 vol_a3_per_atom=159.3 pbc="T T T"
Sr 0.000 0.000 0.000
Sr 3.909 3.909 0.000
Sr 3.909 0.000 3.909
Sr 0.000 3.909 3.909
Pr 1.954 1.954 1.954
Pr 13.681 13.681 13.681

=====

4
Lattice="0.000 3.039 3.039 3.039 0.000 3.039 3.039 3.039 0.000" Properties=species:S:1:pos:R:3 comment="NiHgBIr, optimized geometry, DFT PBE" dft_energy_ev_per_atom=-4.159 de_polymorph_kj_per_mol_fu=147 vol_a3_per_atom=14.0 pbc="T T T"
Ni 0.000 0.000 0.000
Hg 3.039 3.039 3.039
B 4.559 4.559 4.559
Ir 1.520 1.520 1.520

=====

5
Lattice="-1.916 1.916 6.208 1.916 -1.916 6.208 1.916 1.916 -6.208" Properties=species:S:1:pos:R:3 comment="NiGe3Ir, optimized geometry, DFT PBE" dft_energy_ev_per_atom=-5.336 vol_a3_per_atom=18.2 pbc="T T T"
Ni 0.000 0.000 0.000
Ge 1.916 0.000 1.361
Ge 0.000 1.916 1.361
Ge 0.000 0.000 10.116
Ir 0.000 0.000 3.069